Entry 1:
{"formula": "Dy7Y3Th", "functional": "PBE", "state": "relaxed", "lattice": [[7.047, 0.000, 0.000], [-3.523, 6.103, 0.000], [0.000, 0.000, 8.656]], "species": ["Dy", "Dy", "Dy", "Dy", "Dy", "Dy", "Dy", "Y", "Y", "Y", "Th"], "frac_coords": [[0.000, 0.000, 0.000], [0.165, 0.331, 0.669], [0.165, 0.835, 0.669], [0.503, 0.006, 0.995], [0.503, 0.497, 0.995], [0.669, 0.835, 0.669], [0.994, 0.497, 0.995], [0.336, 0.168, 0.335], [0.832, 0.168, 0.335], [0.832, 0.664, 0.335], [0.667, 0.333, 0.669]], "formation_enthalpy_0k_ev_per_atom": 0.189, "crystal_system": "trigonal", "e_above_lowest_polymorph_mev_per_atom": 31.0, "energy_ha_per_atom": -0.190}

---

Entry 2:
{"formula": "Dy7YTh3", "functional": "PBE", "state": "relaxed", "lattice": [[6.443, 0.000, 0.000], [-0.785, 6.650, 0.000], [-1.097, -1.826, 8.362]], "species": ["Dy", "Dy", "Dy", "Dy", "Dy", "Dy", "Dy", "Y", "Th", "Th", "Th"], "frac_coords": [[0.000, 0.000, 0.000], [0.072, 0.714, 0.644], [0.208, 0.229, 0.704], [0.492, 0.732, 0.925], [0.508, 0.268, 0.075], [0.792, 0.771, 0.296], [0.928, 0.286, 0.356], [0.000, 0.500, 0.000], [0.323, 0.948, 0.335], [0.500, 0.500, 0.500], [0.677, 0.052, 0.665]], "formation_enthalpy_0k_ev_per_atom": 0.152, "crystal_system": "triclinic", "e_above_lowest_polymorph_mev_per_atom": 0.0, "energy_ha_per_atom": -0.198}

---

Entry 3:
{"formula": "DyY2Th3", "functional": "PBE", "state": "relaxed", "lattice": [[5.118, -5.669, 0.000], [5.118, 5.669, 0.000], [0.000, 0.000, 6.727]], "species": ["Dy", "Dy", "Y", "Y", "Y", "Y", "Th", "Th", "Th", "Th", "Th", "Th"], "frac_coords": [[0.229, 0.771, 0.750], [0.771, 0.229, 0.250], [0.102, 0.563, 0.250], [0.437, 0.898, 0.250], [0.563, 0.102, 0.750], [0.898, 0.437, 0.750], [0.166, 0.166, 0.000], [0.166, 0.166, 0.500], [0.500, 0.500, 0.000], [0.500, 0.500, 0.500], [0.834, 0.834, 0.000], [0.834, 0.834, 0.500]], "formation_enthalpy_0k_ev_per_atom": 0.184, "crystal_system": "orthorhombic", "energy_ha_per_atom": -0.237}

---

Entry 4:
{"formula": "Dy10YTh4", "functional": "PBE", "state": "relaxed", "lattice": [[-4.848, 4.848, 5.351], [4.848, -4.848, 5.351], [4.848, 4.848, -5.351]], "species": ["Dy", "Dy", "Dy", "Dy", "Dy", "Dy", "Dy", "Dy", "Dy", "Dy", "Y", "Th", "Th", "Th", "Th"], "frac_coords": [[0.044, 0.372, 0.098], [0.053, 0.956, 0.327], [0.250, 0.750, 0.500], [0.274, 0.947, 0.902], [0.372, 0.274, 0.327], [0.628, 0.726, 0.673], [0.726, 0.053, 0.098], [0.750, 0.250, 0.500], [0.947, 0.044, 0.673], [0.956, 0.628, 0.902], [0.500, 0.500, 0.000], [0.160, 0.434, 0.595], [0.434, 0.840, 0.274], [0.566, 0.160, 0.726], [0.840, 0.566, 0.405]], "formation_enthalpy_0k_ev_per_atom": 0.392, "crystal_system": "tetragonal", "energy_ha_per_atom": -0.187}

---

Entry 5:
{"formula": "Dy7YTh2", "functional": "PBE", "state": "relaxed", "lattice": [[4.345, -8.314, 0.000], [4.345, 8.314, 0.000], [0.000, 0.000, 5.509]], "species": ["Dy", "Dy", "Dy", "Dy", "Dy", "Dy", "Dy", "Y", "Th", "Th"], "frac_coords": [[0.000, 0.000, 0.000], [0.214, 0.434, 0.000], [0.291, 0.709, 0.500], [0.434, 0.214, 0.000], [0.566, 0.786, 0.000], [0.709, 0.291, 0.500], [0.786, 0.566, 0.000], [0.500, 0.500, 0.500], [0.205, 0.795, 0.000], [0.795, 0.205, 0.000]], "formation_enthalpy_0k_ev_per_atom": 0.767, "crystal_system": "orthorhombic", "e_above_lowest_polymorph_mev_per_atom": 737.3, "energy_ha_per_atom": -0.168}

---

Entry 6:
{"formula": "Dy12Y2Th5", "functional": "PBE", "state": "relaxed", "lattice": [[8.664, -3.562, 0.000], [8.664, 3.562, 0.000], [-5.800, 0.000, 10.180]], "species": ["Dy", "Dy", "Dy", "Dy", "Dy", "Dy", "Dy", "Dy", "Dy", "Dy", "Dy", "Dy", "Y", "Y", "Th", "Th", "Th", "Th", "Th"], "frac_coords": [[0.053, 0.541, 0.396], [0.102, 0.102, 0.301], [0.150, 0.642, 0.197], [0.358, 0.850, 0.803], [0.398, 0.398, 0.695], [0.459, 0.947, 0.604], [0.541, 0.053, 0.396], [0.602, 0.602, 0.305], [0.642, 0.150, 0.197], [0.850, 0.358, 0.803], [0.898, 0.898, 0.699], [0.947, 0.459, 0.604], [0.249, 0.751, 0.000], [0.751, 0.249, 0.000], [0.199, 0.199, 0.099], [0.300, 0.300, 0.901], [0.500, 0.500, 0.500], [0.700, 0.700, 0.099], [0.801, 0.801, 0.901]], "formation_enthalpy_0k_ev_per_atom": 0.126, "crystal_system": "monoclinic", "energy_ha_per_atom": -0.199}